VASP calculation (PBE) on crystalline PrCdAg2 at its relaxed geometry.

a = 3.567 Å, b = 3.567 Å, c = 7.284 Å
α = 90.00°, β = 90.00°, γ = 90.00°
Positions (direct):
Pr  0.000  0.000  0.000
Cd  0.000  0.000  0.500
Ag  0.500  0.500  0.285
Ag  0.500  0.500  0.715

Output
E_form	-0.1546	eV/atom
VASP energy	-3.004	eV/atom
symmetry	P4/mmm (123)